Entry 1:
# TlTe2Ir (GGA-PBEsol, relaxed)
data_TlTe2Ir
_chemical_formula_sum 'Tl1 Te2 Ir1'
_space_group_name_H-M_alt 'P 4 m m'
_space_group_IT_number 99
_cell_length_a 3.261
_cell_length_b 3.261
_cell_length_c 9.302
_cell_angle_alpha 90.00
_cell_angle_beta 90.00
_cell_angle_gamma 90.00
loop_
_space_group_symop_operation_xyz
'x,y,z'
'-y,x,z'
'-x,-y,z'
'y,-x,z'
'-x,y,z'
'y,x,z'
'x,-y,z'
'-y,-x,z'
loop_
_atom_site_label
_atom_site_fract_x
_atom_site_fract_y
_atom_site_fract_z
_atom_site_occupancy
Tl1 0.000 0.000 0.000 1
Te1 0.000 0.000 0.618 1
Te2 0.500 0.500 0.285 1
Ir1 0.500 0.500 0.759 1
# - Raw formation energy: 0.7 eV per formula unit
# - Total DFT energy (no corrections): -4.693 eV/atom
# - Total moment: 0.0 μB/f.u.
# - Energy relative to the lowest polymorph listed for this composition: 0.357 eV/atom


Entry 2:
# LaY2Tl2 (GGA-PBEsol, relaxed)
data_LaY2Tl2
_chemical_formula_sum 'La2 Y4 Tl4'
_space_group_name_H-M_alt 'P 4/m b m'
_space_group_IT_number 127
_space_group_name_Hall '-P 4 2ab'
_cell_length_a 8.970
_cell_length_b 8.970
_cell_length_c 3.620
_cell_angle_alpha 90.00
_cell_angle_beta 90.00
_cell_angle_gamma 90.00
loop_
_atom_site_label
_atom_site_fract_x
_atom_site_fract_y
_atom_site_fract_z
_atom_site_occupancy
La1 0.000 0.000 0.000 1
Y1 0.142 0.358 0.500 1
Tl1 0.160 0.660 0.000 1
# - ΔH_f (0 K): -0.38 eV/atom
# - Total DFT energy (no corrections): -5.231 eV/atom
# - Total moment: 0.0 μB/f.u.


Entry 3:
# LaBe3Br (GGA-PBEsol, relaxed)
data_LaBe3Br
_chemical_formula_sum 'La1 Be3 Br1'
_space_group_name_H-M_alt 'P m -3 m'
_space_group_IT_number 221
_space_group_name_Hall '-P 4 2 3'
_cell_length_a 4.583
_cell_length_b 4.583
_cell_length_c 4.583
_cell_angle_alpha 90.00
_cell_angle_beta 90.00
_cell_angle_gamma 90.00
loop_
_atom_site_label
_atom_site_fract_x
_atom_site_fract_y
_atom_site_fract_z
_atom_site_occupancy
La1 0.000 0.000 0.000 1
Be1 0.000 0.500 0.500 1
Br1 0.500 0.500 0.500 1
# - Raw formation energy: 5.1 eV per formula unit
# - Total DFT energy (no corrections): -2.827 eV/atom
# - Total moment: 0.0 μB/f.u.
# - Energy relative to the lowest polymorph listed for this composition: 0.000 eV/atom


Entry 4:
# Ac2NiIr (GGA-PBEsol, relaxed)
data_Ac2NiIr
_chemical_formula_sum 'Ac8 Ni4 Ir4'
_space_group_name_H-M_alt 'F m -3 m'
_space_group_IT_number 225
_space_group_name_Hall '-F 4 2 3'
_cell_length_a 7.272
_cell_length_b 7.272
_cell_length_c 7.272
_cell_angle_alpha 90.00
_cell_angle_beta 90.00
_cell_angle_gamma 90.00
loop_
_atom_site_label
_atom_site_fract_x
_atom_site_fract_y
_atom_site_fract_z
_atom_site_occupancy
Ac1 0.250 0.250 0.250 1
Ni1 0.000 0.000 0.000 1
Ir1 0.000 0.000 0.500 1
# - ΔH_f (0 K): -0.27 eV/atom
# - Total DFT energy (no corrections): -6.517 eV/atom
# - Total moment: 0.0 μB/f.u.


Entry 5:
# CoNiPt (GGA-PBEsol, relaxed)
data_CoNiPt
_chemical_formula_sum 'Co1 Ni1 Pt1'
_space_group_name_H-M_alt 'P 3 m 1'
_space_group_IT_number 156
_cell_length_a 2.6147
_cell_length_b 2.6147
_cell_length_c 6.2147
_cell_angle_alpha 90.00
_cell_angle_beta 90.00
_cell_angle_gamma 120.00
loop_
_space_group_symop_operation_xyz
'x,y,z'
'-y,x-y,z'
'-x+y,-x,z'
'-y,-x,z'
'-x+y,y,z'
'x,x-y,z'
loop_
_atom_site_label
_atom_site_fract_x
_atom_site_fract_y
_atom_site_fract_z
_atom_site_occupancy
Co1 0.0000 0.0000 0.0000 1
Ni1 0.3333 0.6667 0.6974 1
Pt1 0.6667 0.3333 0.3469 1
# - ΔH_f (0 K): 0.02 eV/atom
# - Total DFT energy (no corrections): -6.937 eV/atom
# - Total moment: 2.7 μB/f.u.
# - Energy relative to the lowest polymorph listed for this composition: 0.085 eV/atom


Entry 6:
# Mg2RuPt (GGA-PBEsol, relaxed)
data_Mg2RuPt
_chemical_formula_sum 'Mg4 Ru2 Pt2'
_space_group_name_H-M_alt 'I -4 m 2'
_space_group_IT_number 119
_space_group_name_Hall 'I -4 -2'
_cell_length_a 3.851
_cell_length_b 3.851
_cell_length_c 8.299
_cell_angle_alpha 90.00
_cell_angle_beta 90.00
_cell_angle_gamma 90.00
loop_
_atom_site_label
_atom_site_fract_x
_atom_site_fract_y
_atom_site_fract_z
_atom_site_occupancy
Mg1 0.000 0.000 0.000 1
Mg2 0.000 0.500 0.250 1
Ru1 0.000 0.500 0.750 1
Pt1 0.000 0.000 0.500 1
# - ΔH_f (0 K): -0.14 eV/atom
# - Total DFT energy (no corrections): -5.278 eV/atom
# - Total moment: 0.0 μB/f.u.


Entry 7:
# CaFeBr (GGA-PBEsol, relaxed)
data_CaFeBr
_chemical_formula_sum 'Ca1 Fe1 Br1'
_space_group_name_H-M_alt 'P 3 m 1'
_space_group_IT_number 156
_cell_length_a 3.6109
_cell_length_b 3.6109
_cell_length_c 6.0627
_cell_angle_alpha 90.00
_cell_angle_beta 90.00
_cell_angle_gamma 120.00
loop_
_space_group_symop_operation_xyz
'x,y,z'
'-y,x-y,z'
'-x+y,-x,z'
'-y,-x,z'
'-x+y,y,z'
'x,x-y,z'
loop_
_atom_site_label
_atom_site_fract_x
_atom_site_fract_y
_atom_site_fract_z
_atom_site_occupancy
Ca1 0.0000 0.0000 0.0000 1
Fe1 0.6667 0.3333 0.6441 1
Br1 0.3333 0.6667 0.3570 1
# - Raw formation energy: 0.0 eV per formula unit
# - Total DFT energy (no corrections): -4.329 eV/atom
# - Total moment: 3.0 μB/f.u.


Entry 8:
# Mn2IrAu (GGA-PBEsol, relaxed)
data_Mn2IrAu
_chemical_formula_sum 'Mn8 Ir4 Au4'
_space_group_name_H-M_alt 'F m -3 m'
_space_group_IT_number 225
_space_group_name_Hall '-F 4 2 3'
_cell_length_a 6.160
_cell_length_b 6.160
_cell_length_c 6.160
_cell_angle_alpha 90.00
_cell_angle_beta 90.00
_cell_angle_gamma 90.00
loop_
_atom_site_label
_atom_site_fract_x
_atom_site_fract_y
_atom_site_fract_z
_atom_site_occupancy
Mn1 0.250 0.250 0.250 1
Ir1 0.000 0.000 0.000 1
Au1 0.000 0.000 0.500 1
# - ΔH_f (0 K): 0.15 eV/atom
# - Total DFT energy (no corrections): -8.169 eV/atom
# - Total moment: 8.4 μB/f.u.
# - Energy relative to the lowest polymorph listed for this composition: 0.062 eV/atom


Entry 9:
# Rb3MnRu (GGA-PBEsol, relaxed)
data_Rb3MnRu
_chemical_formula_sum 'Rb3 Mn1 Ru1'
_space_group_name_H-M_alt 'P m -3 m'
_space_group_IT_number 221
_space_group_name_Hall '-P 4 2 3'
_cell_length_a 6.421
_cell_length_b 6.421
_cell_length_c 6.421
_cell_angle_alpha 90.00
_cell_angle_beta 90.00
_cell_angle_gamma 90.00
loop_
_atom_site_label
_atom_site_fract_x
_atom_site_fract_y
_atom_site_fract_z
_atom_site_occupancy
Rb1 0.000 0.000 0.500 1
Mn1 0.000 0.000 0.000 1
Ru1 0.500 0.500 0.500 1
# - ΔH_f (0 K): 1.93 eV/atom
# - Total DFT energy (no corrections): -2.668 eV/atom
# - Total moment: 6.6 μB/f.u.


Entry 10:
# TaTl2Cr (GGA-PBEsol, relaxed)
data_TaTl2Cr
_chemical_formula_sum 'Ta2 Tl4 Cr2'
_space_group_name_H-M_alt 'I 4/m m m'
_space_group_IT_number 139
_space_group_name_Hall '-I 4 2'
_cell_length_a 4.270
_cell_length_b 4.270
_cell_length_c 8.310
_cell_angle_alpha 90.00
_cell_angle_beta 90.00
_cell_angle_gamma 90.00
loop_
_atom_site_label
_atom_site_fract_x
_atom_site_fract_y
_atom_site_fract_z
_atom_site_occupancy
Ta1 0.000 0.000 0.000 1
Tl1 0.000 0.500 0.250 1
Cr1 0.000 0.000 0.500 1
# - ΔH_f (0 K): 0.75 eV/atom
# - Total DFT energy (no corrections): -6.268 eV/atom
# - Total moment: 2.1 μB/f.u.
# - Energy relative to the lowest polymorph listed for this composition: 0.238 eV/atom


Entry 11:
# GaBiS2N (GGA-PBEsol, relaxed)
data_GaBiS2N
_chemical_formula_sum 'Ga1 Bi1 S2 N1'
_space_group_name_H-M_alt 'P 4/m m m'
_space_group_IT_number 123
_space_group_name_Hall '-P 4 2'
_cell_length_a 5.196
_cell_length_b 5.196
_cell_length_c 4.337
_cell_angle_alpha 90.00
_cell_angle_beta 90.00
_cell_angle_gamma 90.00
loop_
_atom_site_label
_atom_site_fract_x
_atom_site_fract_y
_atom_site_fract_z
_atom_site_occupancy
Ga1 0.000 0.000 0.000 1
Bi1 0.500 0.500 0.500 1
S1 0.000 0.500 0.500 1
N1 0.500 0.500 0.000 1
# - Raw formation energy: 4.5 eV per formula unit
# - Total DFT energy (no corrections): -4.094 eV/atom
# - Total moment: 1.5 μB/f.u.


Entry 12:
# CsCoSe2Br (GGA-PBEsol, relaxed)
data_CsCoSe2Br
_chemical_formula_sum 'Cs1 Co1 Se2 Br1'
_space_group_name_H-M_alt 'P 4/m m m'
_space_group_IT_number 123
_space_group_name_Hall '-P 4 2'
_cell_length_a 4.726
_cell_length_b 4.726
_cell_length_c 5.610
_cell_angle_alpha 90.00
_cell_angle_beta 90.00
_cell_angle_gamma 90.00
loop_
_atom_site_label
_atom_site_fract_x
_atom_site_fract_y
_atom_site_fract_z
_atom_site_occupancy
Cs1 0.000 0.000 0.000 1
Co1 0.500 0.500 0.500 1
Se1 0.000 0.500 0.500 1
Br1 0.500 0.500 0.000 1
# - Raw formation energy: -2.0 eV per formula unit
# - Total DFT energy (no corrections): -4.044 eV/atom
# - Total moment: 2.6 μB/f.u.


Entry 13:
# MnCr2Mo (GGA-PBEsol, relaxed)
data_MnCr2Mo
_chemical_formula_sum 'Mn1 Cr2 Mo1'
_space_group_name_H-M_alt 'P 4 m m'
_space_group_IT_number 99
_cell_length_a 2.852
_cell_length_b 2.852
_cell_length_c 5.901
_cell_angle_alpha 90.00
_cell_angle_beta 90.00
_cell_angle_gamma 90.00
loop_
_space_group_symop_operation_xyz
'x,y,z'
'-y,x,z'
'-x,-y,z'
'y,-x,z'
'-x,y,z'
'y,x,z'
'x,-y,z'
'-y,-x,z'
loop_
_atom_site_label
_atom_site_fract_x
_atom_site_fract_y
_atom_site_fract_z
_atom_site_occupancy
Mn1 0.000 0.000 0.000 1
Cr1 0.000 0.000 0.543 1
Cr2 0.500 0.500 0.766 1
Mo1 0.500 0.500 0.269 1
# - ΔH_f (0 K): 0.10 eV/atom
# - Total DFT energy (no corrections): -10.400 eV/atom
# - Total moment: 0.0 μB/f.u.
# - Energy relative to the lowest polymorph listed for this composition: 0.000 eV/atom


Entry 14:
# Al3Cr (GGA-PBEsol, relaxed)
data_Al3Cr
_chemical_formula_sum 'Al6 Cr2'
_space_group_name_H-M_alt 'P m -3 n'
_space_group_IT_number 223
_space_group_name_Hall '-P 4n 2 3'
_cell_length_a 4.922
_cell_length_b 4.922
_cell_length_c 4.922
_cell_angle_alpha 90.00
_cell_angle_beta 90.00
_cell_angle_gamma 90.00
loop_
_atom_site_label
_atom_site_fract_x
_atom_site_fract_y
_atom_site_fract_z
_atom_site_occupancy
Al1 0.000 0.250 0.500 1
Cr1 0.000 0.000 0.000 1
# - ΔH_f (0 K): 0.02 eV/atom
# - Total DFT energy (no corrections): -5.610 eV/atom
# - Total moment: 2.4 μB/f.u.


Entry 15:
# Sr2Ca2NdMn5O15 (GGA-PBEsol, relaxed)
data_Sr2Ca2NdMn5O15
_chemical_formula_sum 'Sr4 Ca4 Nd2 Mn10 O30'
_space_group_name_H-M_alt 'P 1'
_space_group_IT_number 1
_cell_length_a 5.373
_cell_length_b 9.182
_cell_length_c 11.811
_cell_angle_alpha 97.45
_cell_angle_beta 102.82
_cell_angle_gamma 105.72
loop_
_space_group_symop_operation_xyz
'x,y,z'
loop_
_atom_site_label
_atom_site_fract_x
_atom_site_fract_y
_atom_site_fract_z
_atom_site_occupancy
Sr1 0.000 0.000 0.000 1
Sr2 0.193 0.796 0.597 1
Sr3 0.599 0.402 0.799 1
Sr4 0.795 0.198 0.397 1
Ca1 0.099 0.892 0.295 1
Ca2 0.307 0.698 0.898 1
Ca3 0.500 0.494 0.496 1
Ca4 0.703 0.295 0.099 1
Nd1 0.401 0.597 0.198 1
Nd2 0.899 0.101 0.699 1
Mn1 0.050 0.451 0.648 1
Mn2 0.150 0.350 0.949 1
Mn3 0.248 0.246 0.248 1
Mn4 0.347 0.149 0.546 1
Mn5 0.449 0.047 0.850 1
Mn6 0.551 0.949 0.148 1
Mn7 0.646 0.848 0.447 1
Mn8 0.747 0.747 0.748 1
Mn9 0.850 0.649 0.047 1
Mn10 0.949 0.548 0.348 1
O1 0.056 0.487 0.493 1
O2 0.068 0.418 0.805 1
O3 0.090 0.907 0.789 1
O4 0.091 0.410 0.269 1
O5 0.200 0.288 0.623 1
O6 0.209 0.787 0.111 1
O7 0.260 0.291 0.096 1
O8 0.273 0.226 0.407 1
O9 0.281 0.204 0.872 1
O10 0.292 0.702 0.381 1
O11 0.382 0.080 0.221 1
O12 0.395 0.602 0.710 1
O13 0.444 0.084 0.693 1
O14 0.468 0.021 0.006 1
O15 0.468 0.999 0.469 1
O16 0.489 0.511 0.994 1
O17 0.598 0.888 0.822 1
O18 0.600 0.398 0.304 1
O19 0.652 0.878 0.291 1
O20 0.668 0.824 0.606 1
O21 0.686 0.805 0.073 1
O22 0.701 0.294 0.593 1
O23 0.786 0.683 0.420 1
O24 0.803 0.197 0.903 1
O25 0.854 0.619 0.205 1
O26 0.861 0.687 0.895 1
O27 0.865 0.598 0.669 1
O28 0.888 0.110 0.192 1
O29 0.991 0.002 0.509 1
O30 0.997 0.485 0.028 1
# - Raw formation energy: -59.4 eV per formula unit
# - Total DFT energy (no corrections): -8.002 eV/atom
# - Total moment: 16.0 μB/f.u.


Entry 16:
# ZnInPb2 (GGA-PBEsol, relaxed)
data_ZnInPb2
_chemical_formula_sum 'Zn1 In1 Pb2'
_space_group_name_H-M_alt 'P 4/m m m'
_space_group_IT_number 123
_space_group_name_Hall '-P 4 2'
_cell_length_a 3.375
_cell_length_b 3.375
_cell_length_c 8.858
_cell_angle_alpha 90.00
_cell_angle_beta 90.00
_cell_angle_gamma 90.00
loop_
_atom_site_label
_atom_site_fract_x
_atom_site_fract_y
_atom_site_fract_z
_atom_site_occupancy
Zn1 0.000 0.000 0.000 1
In1 0.000 0.000 0.500 1
Pb1 0.500 0.500 0.219 1
# - ΔH_f (0 K): 0.10 eV/atom
# - Total DFT energy (no corrections): -3.038 eV/atom
# - Total moment: 0.0 μB/f.u.


Entry 17:
# CaMgIn2 (GGA-PBEsol, relaxed)
data_CaMgIn2
_chemical_formula_sum 'Ca1 Mg1 In2'
_space_group_name_H-M_alt 'P 4/m m m'
_space_group_IT_number 123
_space_group_name_Hall '-P 4 2'
_cell_length_a 3.642
_cell_length_b 3.642
_cell_length_c 7.416
_cell_angle_alpha 90.00
_cell_angle_beta 90.00
_cell_angle_gamma 90.00
loop_
_atom_site_label
_atom_site_fract_x
_atom_site_fract_y
_atom_site_fract_z
_atom_site_occupancy
Ca1 0.000 0.000 0.000 1
Mg1 0.000 0.000 0.500 1
In1 0.500 0.500 0.282 1
# - ΔH_f (0 K): -0.34 eV/atom
# - Total DFT energy (no corrections): -2.797 eV/atom
# - Total moment: 0.0 μB/f.u.


Entry 18:
# SrLi3P (GGA-PBEsol, relaxed)
data_SrLi3P
_chemical_formula_sum 'Sr1 Li3 P1'
_space_group_name_H-M_alt 'P m -3 m'
_space_group_IT_number 221
_space_group_name_Hall '-P 4 2 3'
_cell_length_a 5.255
_cell_length_b 5.255
_cell_length_c 5.255
_cell_angle_alpha 90.00
_cell_angle_beta 90.00
_cell_angle_gamma 90.00
loop_
_atom_site_label
_atom_site_fract_x
_atom_site_fract_y
_atom_site_fract_z
_atom_site_occupancy
Sr1 0.000 0.000 0.000 1
Li1 0.000 0.000 0.500 1
P1 0.500 0.500 0.500 1
# - ΔH_f (0 K): 1.14 eV/atom
# - Total DFT energy (no corrections): -1.562 eV/atom
# - Total moment: 0.0 μB/f.u.
# - Energy relative to the lowest polymorph listed for this composition: 1.460 eV/atom


Entry 19:
# ScAl2Os (GGA-PBEsol, relaxed)
data_ScAl2Os
_chemical_formula_sum 'Sc2 Al4 Os2'
_space_group_name_H-M_alt 'I m m m'
_space_group_IT_number 71
_space_group_name_Hall '-I 2 2'
_cell_length_a 3.146
_cell_length_b 4.588
_cell_length_c 8.835
_cell_angle_alpha 90.00
_cell_angle_beta 90.00
_cell_angle_gamma 90.00
loop_
_atom_site_label
_atom_site_fract_x
_atom_site_fract_y
_atom_site_fract_z
_atom_site_occupancy
Sc1 0.000 0.000 0.000 1
Al1 0.000 0.500 0.230 1
Os1 0.000 0.000 0.500 1
# - ΔH_f (0 K): -0.33 eV/atom
# - Total DFT energy (no corrections): -7.078 eV/atom
# - Total moment: 0.0 μB/f.u.


Entry 20:
# Ba2TeF2 (GGA-PBEsol, relaxed)
data_Ba2TeF2
_chemical_formula_sum 'Ba4 Te2 F4'
_space_group_name_H-M_alt 'I 4/m m m'
_space_group_IT_number 139
_space_group_name_Hall '-I 4 2'
_cell_length_a 4.340
_cell_length_b 4.340
_cell_length_c 13.939
_cell_angle_alpha 90.00
_cell_angle_beta 90.00
_cell_angle_gamma 90.00
loop_
_atom_site_label
_atom_site_fract_x
_atom_site_fract_y
_atom_site_fract_z
_atom_site_occupancy
Ba1 0.000 0.000 0.142 1
Te1 0.000 0.000 0.500 1
F1 0.000 0.500 0.250 1
# - Raw formation energy: -15.2 eV per formula unit
# - Total DFT energy (no corrections): -5.368 eV/atom
# - Total moment: 0.0 μB/f.u.